[1]
Compound: Pr3Sm3Tm8
Source: Alexandria
Functional: PBE
Structure: relaxed

a = 5.6474 Å, b = 10.7223 Å, c = 15.1823 Å
α = 90.00°, β = 90.00°, γ = 90.00°
Last column: nearest neighbours and their distance in Å.
Space group Immm (No. 71)
Inequivalent atoms, fractional coordinates:
1 Pr 0.0000 0.0000 0.0000  4 Sm 3.54
2 Pr 0.0000 0.5000 0.3122  2 Sm 3.56, 8 Tm 3.60-3.66
3 Sm 0.0000 0.0000 0.5000  2 Sm 3.22
4 Sm 0.0000 0.3005 0.5000  1 Sm 3.22, 4 Pr 3.54-3.56, 4 Tm 3.56
5 Tm 0.0000 0.1621 0.2805  6 Tm 3.32-3.52, 3 Pr 3.60-3.66, 1 Sm 3.65
6 Tm 0.0000 0.3411 0.1023  5 Tm 3.11-3.41

Summary:
DFT total energy   -4.48 eV per atom
DFT formation energy   0.109 eV per atom

[2]
Compound: LiNdSmPd
Source: Alexandria
Functional: PBE
Structure: relaxed

a = 7.3028 Å, b = 7.3028 Å, c = 7.3028 Å
α = 90.00°, β = 90.00°, γ = 90.00°
Last column: nearest neighbours and their distance in Å.
Space group F-43m (No. 216)
Inequivalent atoms, fractional coordinates:
1 Li 0.0000 0.0000 0.0000  4 Nd 3.16, 4 Sm 3.16
2 Nd 0.2500 0.2500 0.2500  4 Pd 3.16, 4 Li 3.16
3 Sm 0.2500 0.2500 0.7500  4 Li 3.16, 4 Pd 3.16
4 Pd 0.0000 0.0000 0.5000  4 Sm 3.16, 4 Nd 3.16

Summary:
DFT total energy   -4.47 eV per atom
DFT formation energy   -0.326 eV per atom

[3]
Compound: RbBi2S
Source: Alexandria
Functional: PBE
Structure: relaxed

a = 9.5549 Å, b = 9.5549 Å, c = 6.2233 Å
α = 90.00°, β = 90.00°, γ = 90.00°
Last column: nearest neighbours and their distance in Å.
Space group I-42d (No. 122)
Inequivalent atoms, fractional coordinates:
1 Rb 0.0000 0.0000 0.0000  2 S 3.11
2 Bi 0.1652 0.7500 0.6250  2 S 2.97
3 S 0.0000 0.0000 0.5000  4 Bi 2.97, 2 Rb 3.11

Summary:
Uncorrected formation energy   -0.26 eV per formula unit
DFT total energy   -3.28 eV per atom

[4]
Compound: NdNi2SbN
Source: Alexandria
Functional: PBE
Structure: relaxed

a = 3.6931 Å, b = 12.3129 Å, c = 7.0787 Å
α = 90.00°, β = 90.00°, γ = 90.00°
Last column: nearest neighbours and their distance in Å.
Space group Cmcm (No. 63)
Inequivalent atoms, fractional coordinates:
1 Nd 0.0000 0.0295 0.2500  4 N 2.58
2 Ni 0.0000 0.3502 0.0498  1 N 1.88
3 Sb 0.0000 0.2372 0.7500  6 Ni 2.54-2.56
4 N 0.0000 0.5000 0.0000  2 Ni 1.88

Summary:
Uncorrected formation energy   -3.15 eV per formula unit
DFT total energy   -6.39 eV per atom

[5]
Compound: Pr8Zn3CoBr4
Source: Alexandria
Functional: PBE
Structure: relaxed

a = 8.4210 Å, b = 8.4210 Å, c = 22.7030 Å
α = 90.00°, β = 90.00°, γ = 120.00°
Last column: nearest neighbours and their distance in Å.
Space group R-3m (No. 166, hexagonal axes)
Inequivalent atoms, fractional coordinates:
1 Pr 0.0000 0.0000 0.2482  3 Zn 3.06, 3 Br 3.11
2 Pr 0.0229 0.5114 0.2386  1 Co 2.79, 2 Zn 3.00
3 Zn 0.0000 0.5000 0.5000  6 Pr 3.00-3.06
4 Co 0.0000 0.0000 0.5000  6 Pr 2.79
5 Br 0.0000 0.0000 0.0000  6 Pr 3.37
6 Br 0.0000 0.5000 0.0000  6 Pr 3.11-3.19

Summary:
Uncorrected formation energy   -11.12 eV per formula unit
DFT total energy   -4.19 eV per atom

[6]
Compound: RbCuB3
Source: Alexandria
Functional: PBE
Structure: relaxed

a = 4.8969 Å, b = 4.8969 Å, c = 4.8969 Å
α = 90.00°, β = 90.00°, γ = 90.00°
Last column: nearest neighbours and their distance in Å.
Space group Pm-3m (No. 221)
Inequivalent atoms, fractional coordinates:
1 Rb 0.0000 0.0000 0.0000  6 B 2.45
2 Cu 0.5000 0.5000 0.5000  12 B 3.46
3 B 0.0000 0.0000 0.5000  2 Rb 2.45

Summary:
DFT total energy   -1.41 eV per atom
DFT formation energy   3.611 eV per atom

[7]
Compound: Co
Source: Alexandria
Functional: PBE
Structure: relaxed

a = 6.0636 Å, b = 6.0636 Å, c = 6.0636 Å
α = 90.00°, β = 90.00°, γ = 90.00°
Last column: nearest neighbours and their distance in Å.
Space group Im-3m (No. 229)
Inequivalent atoms, fractional coordinates:
1 Co 0.0000 0.2500 0.5000  4 Co 2.14

Summary:
DFT total energy   -5.63 eV per atom
DFT formation energy   1.476 eV per atom

[8]
Compound: CeSmDy3
Source: Alexandria
Functional: PBE
Structure: relaxed

a = 7.0018 Å, b = 11.0283 Å, c = 8.7470 Å
α = 90.00°, β = 101.76°, γ = 90.00°
Last column: nearest neighbours and their distance in Å.
Space group P2_1/m (No. 11)
Inequivalent atoms, fractional coordinates:
1 Ce 0.0086 0.2500 0.0585  6 Dy 3.24-3.30, 2 Sm 3.39-3.61, 1 Ce 3.56
2 Ce 0.3227 0.7500 0.3087  3 Sm 3.49-3.55, 1 Ce 3.56, 8 Dy 3.61-3.86
3 Sm 0.1757 0.2500 0.6926  3 Ce 3.49-3.63, 1 Sm 3.57, 8 Dy 3.64-3.85
4 Sm 0.4775 0.7500 0.9463  6 Dy 3.30-3.31, 3 Ce 3.39-3.61, 1 Sm 3.57
5 Dy 0.0852 0.0595 0.3458  1 Ce 3.24, 6 Dy 3.40-3.50
6 Dy 0.2461 0.0037 0.9986  2 Ce 3.28-3.30, 2 Sm 3.31, 6 Dy 3.45-3.55
7 Dy 0.4137 0.5581 0.6503  1 Sm 3.30, 6 Dy 3.36-3.55, 1 Ce 3.61

Summary:
DFT total energy   -4.65 eV per atom
DFT formation energy   0.244 eV per atom

[9]
Compound: NdHoPdPb
Source: Alexandria
Functional: PBE
Structure: relaxed

a = 7.4751 Å, b = 7.4751 Å, c = 7.4751 Å
α = 90.00°, β = 90.00°, γ = 90.00°
Last column: nearest neighbours and their distance in Å.
Space group F-43m (No. 216)
Inequivalent atoms, fractional coordinates:
1 Nd 0.0000 0.0000 0.0000  4 Pd 3.24, 4 Pb 3.24
2 Ho 0.0000 0.0000 0.5000  4 Pb 3.24, 4 Pd 3.24
3 Pd 0.2500 0.2500 0.2500  4 Ho 3.24, 4 Nd 3.24
4 Pb 0.2500 0.2500 0.7500  4 Ho 3.24, 4 Nd 3.24

Summary:
DFT total energy   -5.15 eV per atom
DFT formation energy   -0.589 eV per atom

[10]
Compound: Tm8Tl2Au
Source: Alexandria
Functional: PBE
Structure: relaxed

a = 18.4508 Å, b = 5.0557 Å, c = 6.6988 Å
α = 90.00°, β = 99.69°, γ = 90.00°
Last column: nearest neighbours and their distance in Å.
Space group C2/m (No. 12)
Inequivalent atoms, fractional coordinates:
1 Tm 0.0155 0.0000 0.2640  2 Au 3.02, 1 Tl 3.18, 1 Tm 3.31
2 Tm 0.0908 0.5000 0.9657  1 Au 3.28, 9 Tm 3.40-3.64, 2 Tl 3.50
3 Tm 0.1517 0.5000 0.4889  1 Au 2.81, 2 Tl 3.08
4 Tm 0.2058 0.0000 0.8167  3 Tl 3.05-3.30, 2 Tm 3.39
5 Tl 0.1873 0.0000 0.2600  7 Tm 3.05-3.30
6 Au 0.0000 0.5000 0.5000  6 Tm 2.81-3.02

Summary:
DFT total energy   -4.22 eV per atom
DFT formation energy   -0.242 eV per atom

[11]
Compound: LiAc3Ce3Se8
Source: Alexandria
Functional: PBE
Structure: relaxed

a = 8.5603 Å, b = 8.5603 Å, c = 21.3864 Å
α = 90.00°, β = 90.00°, γ = 120.00°
Last column: nearest neighbours and their distance in Å.
Space group R-3m (No. 166, hexagonal axes)
Inequivalent atoms, fractional coordinates:
1 Li 0.0000 0.0000 0.0000  6 Se 2.95
2 Ac 0.0000 0.5000 0.5000  6 Se 3.11-3.12
3 Ce 0.0000 0.5000 0.0000  6 Se 2.98
4 Se 0.0000 0.0000 0.2553  3 Ce 2.98, 3 Ac 3.11
5 Se 0.0031 0.5016 0.7436  1 Li 2.95, 2 Ce 2.98, 2 Ac 3.12

Summary:
Uncorrected formation energy   -26.73 eV per formula unit
DFT total energy   -5.78 eV per atom

[12]
Compound: ZrTa2Cl
Source: Alexandria
Functional: PBE
Structure: relaxed

a = 3.3268 Å, b = 3.3268 Å, c = 8.2541 Å
α = 90.00°, β = 90.00°, γ = 90.00°
Last column: nearest neighbours and their distance in Å.
Space group P4mm (No. 99)
Inequivalent atoms, fractional coordinates:
1 Zr 0.0000 0.0000 0.0000  4 Cl 2.92, 5 Ta 2.96-3.16
2 Ta 0.0000 0.0000 0.6177  4 Ta 2.71
3 Ta 0.5000 0.5000 0.7819  4 Ta 2.71, 4 Zr 2.96
4 Cl 0.5000 0.5000 0.2101  4 Zr 2.92

Summary:
Uncorrected formation energy   -0.24 eV per formula unit
DFT total energy   -8.59 eV per atom

[13]
Compound: CsKNi2
Source: Alexandria
Functional: PBE
Structure: relaxed

a = 8.1571 Å, b = 8.1571 Å, c = 8.1571 Å
α = 90.00°, β = 90.00°, γ = 90.00°
Last column: nearest neighbours and their distance in Å.
Space group Fm-3m (No. 225)
Inequivalent atoms, fractional coordinates:
1 Cs 0.0000 0.0000 0.0000  8 Ni 3.53
2 K 0.0000 0.0000 0.5000  8 Ni 3.53
3 Ni 0.2500 0.2500 0.2500  4 K 3.53, 4 Cs 3.53

Summary:
DFT total energy   -2.25 eV per atom
DFT formation energy   1.128 eV per atom

[14]
Compound: BeFe2Ir
Source: Alexandria
Functional: PBE
Structure: relaxed

a = 9.0711 Å, b = 2.8329 Å, c = 3.8593 Å
α = 90.00°, β = 115.09°, γ = 90.00°
Last column: nearest neighbours and their distance in Å.
Space group C2/m (No. 12)
Inequivalent atoms, fractional coordinates:
1 Be 0.0000 0.0000 0.0000  4 Ir 2.39, 4 Fe 2.43
2 Fe 0.2411 0.5000 0.2410  4 Fe 2.40, 2 Be 2.43, 2 Ir 2.56
3 Ir 0.0000 0.5000 0.5000  4 Be 2.39, 4 Fe 2.56

Summary:
DFT total energy   -7.55 eV per atom
DFT formation energy   -0.174 eV per atom

[15]
Compound: Tb3YCd4
Source: Alexandria
Functional: PBE
Structure: relaxed

a = 5.2968 Å, b = 5.2968 Å, c = 7.5634 Å
α = 90.00°, β = 90.00°, γ = 90.00°
Last column: nearest neighbours and their distance in Å.
Space group P4/mmm (No. 123)
Inequivalent atoms, fractional coordinates:
1 Tb 0.0000 0.0000 0.0000  8 Cd 3.26
2 Tb 0.0000 0.0000 0.5000  8 Cd 3.25
3 Tb 0.5000 0.5000 0.0000  8 Cd 3.26
4 Y 0.5000 0.5000 0.5000  8 Cd 3.25
5 Cd 0.0000 0.5000 0.2504  2 Y 3.25, 6 Tb 3.25-3.26

Summary:
DFT total energy   -3.33 eV per atom
DFT formation energy   -0.329 eV per atom

[16]
Compound: NdHoPd2
Source: Alexandria
Functional: PBE
Structure: relaxed

a = 4.5921 Å, b = 3.8148 Å, c = 10.6943 Å
α = 90.00°, β = 90.00°, γ = 90.00°
Last column: nearest neighbours and their distance in Å.
Space group Amm2 (No. 38)
Inequivalent atoms, fractional coordinates:
1 Nd 0.0000 0.0000 0.0000  7 Pd 2.93-3.08
2 Ho 0.5000 0.0000 0.2741  7 Pd 3.00-3.03
3 Pd 0.0000 0.0000 0.7259  3 Nd 2.93-3.08, 2 Pd 2.94, 4 Ho 3.03
4 Pd 0.5000 0.0000 0.5545  2 Pd 2.94, 3 Ho 3.00-3.03, 4 Nd 3.04

Summary:
DFT total energy   -5.79 eV per atom
DFT formation energy   -0.861 eV per atom

[17]
Compound: CeThHgPb
Source: Alexandria
Functional: PBE
Structure: relaxed

a = 7.7639 Å, b = 7.7639 Å, c = 7.7639 Å
α = 90.00°, β = 90.00°, γ = 90.00°
Last column: nearest neighbours and their distance in Å.
Space group F-43m (No. 216)
Inequivalent atoms, fractional coordinates:
1 Ce 0.0000 0.0000 0.0000  4 Pb 3.36, 4 Hg 3.36
2 Th 0.0000 0.0000 0.5000  4 Hg 3.36, 4 Pb 3.36
3 Hg 0.2500 0.2500 0.2500  4 Ce 3.36, 4 Th 3.36
4 Pb 0.2500 0.2500 0.7500  4 Th 3.36, 4 Ce 3.36

Summary:
DFT total energy   -4.59 eV per atom
DFT formation energy   -0.253 eV per atom

[18]
Compound: BaErCdIn
Source: Alexandria
Functional: PBE
Structure: relaxed

a = 7.9998 Å, b = 7.9998 Å, c = 7.9998 Å
α = 90.00°, β = 90.00°, γ = 90.00°
Last column: nearest neighbours and their distance in Å.
Space group F-43m (No. 216)
Inequivalent atoms, fractional coordinates:
1 Ba 0.0000 0.0000 0.0000  4 Cd 3.46, 4 In 3.46
2 Er 0.0000 0.0000 0.5000  4 In 3.46, 4 Cd 3.46
3 Cd 0.2500 0.2500 0.2500  4 Ba 3.46, 4 Er 3.46
4 In 0.2500 0.2500 0.7500  4 Ba 3.46, 4 Er 3.46

Summary:
DFT total energy   -2.78 eV per atom
DFT formation energy   -0.242 eV per atom

[19]
Compound: Sr2PmAu
Source: Alexandria
Functional: PBE
Structure: relaxed

a = 3.9861 Å, b = 3.9861 Å, c = 34.9182 Å
α = 90.00°, β = 90.00°, γ = 120.00°
Last column: nearest neighbours and their distance in Å.
Space group R-3m (No. 166, hexagonal axes)
Inequivalent atoms, fractional coordinates:
1 Sr 0.0000 0.0000 0.1073  3 Au 3.10
2 Pm 0.0000 0.0000 0.0000  2 Sr 3.75, 6 Pm 3.99
3 Au 0.0000 0.0000 0.5000  6 Sr 3.10

Summary:
DFT total energy   -2.90 eV per atom
DFT formation energy   -0.048 eV per atom

[20]
Compound: BaLiCdPb2
Source: Alexandria
Functional: PBE
Structure: relaxed

a = 4.9376 Å, b = 4.9376 Å, c = 12.7160 Å
α = 90.00°, β = 90.00°, γ = 90.00°
Last column: nearest neighbours and their distance in Å.
Space group I-4m2 (No. 119)
Inequivalent atoms, fractional coordinates:
1 Ba 0.0000 0.0000 0.0000  8 Pb 3.81, 4 Cd 4.03, 4 Li 4.03
2 Li 0.0000 0.5000 0.2500  4 Pb 2.97
3 Cd 0.0000 0.5000 0.7500  4 Pb 2.97
4 Pb 0.0000 0.0000 0.3802  2 Cd 2.97, 2 Li 2.97, 1 Pb 3.05

Summary:
DFT total energy   -2.82 eV per atom
DFT formation energy   -0.383 eV per atom

| no. | D(E_F) (states/eV/cell) |
| --- | --- |
| 1 | 44.41 |
| 2 | 12.26 |
| 3 | 14.90 |
| 4 | 11.05 |
| 5 | 38.49 |
| 6 | 4.26 |
| 7 | 14.87 |
| 8 | 44.44 |
| 9 | 8.82 |
| 10 | 17.58 |
| 11 | 68.74 |
| 12 | 3.22 |
| 13 | 33.96 |
| 14 | 8.39 |
| 15 | 9.55 |
| 16 | 5.10 |
| 17 | 35.97 |
| 18 | 13.20 |
| 19 | 13.89 |
| 20 | 3.33 |